1.
# NbHgAu3 (PBE, relaxed)
# V (Å³/cell): 133.9
# ΔE_f (eV per atom): 1.19
data_NbHgAu3
_chemical_formula_sum 'Nb1 Hg1 Au3'
_cell_length_a 5.116
_cell_length_b 5.116
_cell_length_c 5.116
_cell_angle_alpha 90.00
_cell_angle_beta 90.00
_cell_angle_gamma 90.00
_symmetry_space_group_name_H-M 'P m -3 m'
_symmetry_Int_Tables_number 221
_symmetry_space_group_name_Hall '-P 4 2 3'
loop_
_atom_site_label
_atom_site_fract_x
_atom_site_fract_y
_atom_site_fract_z
Nb1 0.000 0.000 0.000
Hg1 0.500 0.500 0.500
Au1 0.000 0.500 0.500



2.
# NbHgAu2 (PBE, relaxed)
# V (Å³/cell): 335.3
# ΔE_f (eV per atom): 0.42
data_NbHgAu2
_chemical_formula_sum 'Nb4 Hg4 Au8'
_cell_length_a 7.650
_cell_length_b 7.650
_cell_length_c 5.729
_cell_angle_alpha 90.00
_cell_angle_beta 90.00
_cell_angle_gamma 90.00
_symmetry_space_group_name_H-M 'I -4 2 d'
_symmetry_Int_Tables_number 122
_symmetry_space_group_name_Hall 'I -4 2bw'
loop_
_atom_site_label
_atom_site_fract_x
_atom_site_fract_y
_atom_site_fract_z
Nb1 0.000 0.000 0.000
Hg1 0.000 0.000 0.500
Au1 0.234 0.750 0.125